Density functional theory data (GGA-PBE) for a geometry-optimized RbLi2ScN structure.

a = 4.232 Å, b = 6.539 Å, c = 4.232 Å
α = 90.00°, β = 90.00°, γ = 90.00°
Atoms (fractional coordinates):
Sc1 0.000 0.500 0.000
Li1 0.000 0.000 0.500
Li2 0.500 0.000 0.000
Rb1 0.000 0.000 0.000
N1 0.500 0.500 0.500

Space-group type: No. 123
N(E_F) (states/eV per cell): 1.90
E_tot (eV/atom): -1.92
Calculated volume (Å³ per atom): 23.4